No. 1
# BaLiZrSe3 PBE-GGA optimized geometry
# Theoretical density, g cm⁻³: 5.26
# Energy, eV per atom: -5.32
data_BaLiZrSe3
_chemical_formula_sum 'Ba4 Li4 Zr4 Se12'
_cell_length_a 4.120
_cell_length_b 13.977
_cell_length_c 10.356
_cell_angle_alpha 90.00
_cell_angle_beta 90.00
_cell_angle_gamma 90.00
_space_group_name_H-M_alt 'C m c m'
_space_group_IT_number 63
_space_group_name_Hall '-C 2c 2'
loop_
_atom_site_label
_atom_site_type_symbol
_atom_site_fract_x
_atom_site_fract_y
_atom_site_fract_z
Ba1 Ba 0.000 0.250 0.250
Li1 Li 0.000 0.030 0.750
Zr1 Zr 0.000 0.500 0.000
Se1 Se 0.000 0.130 0.552
Se2 Se 0.000 0.435 0.750

---

No. 2
# HfFeNiSn PBE-GGA optimized geometry
# Theoretical density, g cm⁻³: 10.45
# Relative energy among the computed polymorphs, eV/atom: 0.368
# Energy, eV per atom: -6.92
data_HfFeNiSn
_chemical_formula_sum 'Hf4 Fe4 Ni4 Sn4'
_cell_length_a 6.397
_cell_length_b 6.397
_cell_length_c 6.397
_cell_angle_alpha 90.00
_cell_angle_beta 90.00
_cell_angle_gamma 90.00
_space_group_name_H-M_alt 'F -4 3 m'
_space_group_IT_number 216
_space_group_name_Hall 'F -4 2 3'
loop_
_atom_site_label
_atom_site_type_symbol
_atom_site_fract_x
_atom_site_fract_y
_atom_site_fract_z
Hf1 Hf 0.000 0.000 0.000
Fe1 Fe 0.250 0.250 0.750
Ni1 Ni 0.000 0.000 0.500
Sn1 Sn 0.250 0.250 0.250

---

No. 3
# ZrBr2Cl2 PBE-GGA optimized geometry
# Theoretical density, g cm⁻³: 3.29
# Energy, eV per atom: -4.68
data_ZrBr2Cl2
_chemical_formula_sum 'Zr2 Br4 Cl4'
_cell_length_a 6.763
_cell_length_b 7.709
_cell_length_c 6.615
_cell_angle_alpha 90.00
_cell_angle_beta 109.72
_cell_angle_gamma 90.00
_space_group_name_H-M_alt 'P 1 2/c 1'
_space_group_IT_number 13
loop_
_space_group_symop_operation_xyz
'x,y,z'
'-x,-y,-z'
'-x,y,-z+1/2'
'x,-y,z+1/2'
loop_
_atom_site_label
_atom_site_type_symbol
_atom_site_fract_x
_atom_site_fract_y
_atom_site_fract_z
Zr1 Zr 0.000 0.169 0.250
Br1 Br 0.232 0.113 0.000
Cl1 Cl 0.246 0.362 0.473

---

No. 4
# BeCu5B2 PBE-GGA optimized geometry
# Theoretical density, g cm⁻³: 7.37
# Energy, eV per atom: -4.12
data_BeCu5B2
_chemical_formula_sum 'Be1 Cu5 B2'
_cell_length_a 3.691
_cell_length_b 3.691
_cell_length_c 5.762
_cell_angle_alpha 90.00
_cell_angle_beta 90.00
_cell_angle_gamma 90.00
_space_group_name_H-M_alt 'P 4/m m m'
_space_group_IT_number 123
_space_group_name_Hall '-P 4 2'
loop_
_atom_site_label
_atom_site_type_symbol
_atom_site_fract_x
_atom_site_fract_y
_atom_site_fract_z
Be1 Be 0.000 0.000 0.000
Cu1 Cu 0.000 0.500 0.228
Cu2 Cu 0.500 0.500 0.500
B1 B 0.000 0.000 0.500
B2 B 0.500 0.500 0.000

---

No. 5
# NpNbFe PBE-GGA optimized geometry
# Theoretical density, g cm⁻³: 11.79
# Relative energy among the computed polymorphs, eV/atom: 0.000
# Energy, eV per atom: -9.85
data_NpNbFe
_chemical_formula_sum 'Np4 Nb4 Fe4'
_cell_length_a 6.012
_cell_length_b 6.012
_cell_length_c 6.012
_cell_angle_alpha 90.00
_cell_angle_beta 90.00
_cell_angle_gamma 90.00
_space_group_name_H-M_alt 'F -4 3 m'
_space_group_IT_number 216
_space_group_name_Hall 'F -4 2 3'
loop_
_atom_site_label
_atom_site_type_symbol
_atom_site_fract_x
_atom_site_fract_y
_atom_site_fract_z
Np1 Np 0.000 0.000 0.000
Nb1 Nb 0.000 0.000 0.500
Fe1 Fe 0.250 0.250 0.250

---

No. 6
# CoC3 PBE-GGA optimized geometry
# Theoretical density, g cm⁻³: 4.11
# Relative energy among the computed polymorphs, eV/atom: 0.000
# Energy, eV per atom: -7.70
data_CoC3
_chemical_formula_sum 'Co2 C6'
_cell_length_a 2.510
_cell_length_b 2.510
_cell_length_c 12.178
_cell_angle_alpha 90.00
_cell_angle_beta 90.00
_cell_angle_gamma 90.00
_space_group_name_H-M_alt 'I 4 m m'
_space_group_IT_number 107
_space_group_name_Hall 'I 4 -2'
loop_
_atom_site_label
_atom_site_type_symbol
_atom_site_fract_x
_atom_site_fract_y
_atom_site_fract_z
Co1 Co 0.000 0.000 0.000
C1 C 0.000 0.000 0.500
C2 C 0.000 0.500 0.251

---

No. 7
# PrAl2ZnGa PBE-GGA optimized geometry
# Theoretical density, g cm⁻³: 5.54
# Energy, eV per atom: -3.77
data_PrAl2ZnGa
_chemical_formula_sum 'Pr2 Al4 Zn2 Ga2'
_cell_length_a 4.237
_cell_length_b 4.237
_cell_length_c 11.010
_cell_angle_alpha 90.00
_cell_angle_beta 90.00
_cell_angle_gamma 90.00
_space_group_name_H-M_alt 'I 4 m m'
_space_group_IT_number 107
_space_group_name_Hall 'I 4 -2'
loop_
_atom_site_label
_atom_site_type_symbol
_atom_site_fract_x
_atom_site_fract_y
_atom_site_fract_z
Pr1 Pr 0.000 0.000 0.000
Al1 Al 0.000 0.500 0.251
Zn1 Zn 0.000 0.000 0.385
Ga1 Ga 0.000 0.000 0.608

---

No. 8
# Rb2LiCdF6 PBE-GGA optimized geometry
# Theoretical density, g cm⁻³: 4.77
# Relative energy among the computed polymorphs, eV/atom: 0.000
# Energy, eV per atom: -3.93
data_Rb2LiCdF6
_chemical_formula_sum 'Rb4 Li2 Cd2 F12'
_cell_length_a 5.839
_cell_length_b 5.838
_cell_length_c 10.116
_cell_angle_alpha 90.00
_cell_angle_beta 125.24
_cell_angle_gamma 90.00
_space_group_name_H-M_alt 'P 1 21/c 1'
_space_group_IT_number 14
loop_
_space_group_symop_operation_xyz
'x,y,z'
'-x,-y,-z'
'-x,y+1/2,-z+1/2'
'x,-y+1/2,z+1/2'
loop_
_atom_site_label
_atom_site_type_symbol
_atom_site_fract_x
_atom_site_fract_y
_atom_site_fract_z
Rb1 Rb 0.250 0.001 0.250
Li1 Li 0.000 0.000 0.500
Cd1 Cd 0.500 0.000 0.000
F1 F 0.238 0.242 0.499
F2 F 0.242 0.000 0.741
F3 F 0.242 0.739 0.000